Entry 1:
First-principles (PBE-GGA) data for BaY3Ir after structural relaxation, as listed in Alexandria via LeMat-Bulk.

The total moment comes out at 0.0000 μB per atom. The electronic total energy comes out at -5.98 eV per atom. The formation energy is 0.3 eV/f.u. For the distance to the lowest polymorph of the same formula, the calculation gives 411.0 meV/atom.

Cell: 10.697 10.697 10.697 Å, 146.63 146.63 47.91°
Fractional positions:
1 Ba 0.202 0.202 0.000
2 Ba 0.798 0.798 0.000
3 Y 0.032 0.532 0.500
4 Y 0.130 0.378 0.752
5 Y 0.468 0.968 0.500
6 Y 0.622 0.374 0.752
7 Y 0.622 0.870 0.248
8 Y 0.626 0.378 0.248
9 Ir 0.500 0.500 0.000
10 Ir 0.750 0.250 0.500

***

Entry 2:
First-principles (PBE-GGA) data for BaY2Ir after structural relaxation, as listed in Alexandria via LeMat-Bulk.

The total moment comes out at 0.0000 μB per atom. The electronic total energy comes out at -6.04 eV per atom. The formation energy is -0.4 eV/f.u. For the distance to the lowest polymorph of the same formula, the calculation gives 274.6 meV/atom.

Cell: 9.007 9.007 6.768 Å, 90.00 90.00 90.00°
Fractional positions:
1 Ba 0.000 0.000 0.000
2 Ba 0.000 0.500 0.250
3 Ba 0.500 0.000 0.750
4 Ba 0.500 0.500 0.500
5 Y 0.146 0.250 0.625
6 Y 0.250 0.646 0.875
7 Y 0.250 0.854 0.375
8 Y 0.354 0.250 0.125
9 Y 0.646 0.750 0.125
10 Y 0.750 0.146 0.375
11 Y 0.750 0.354 0.875
12 Y 0.854 0.750 0.625
13 Ir 0.000 0.000 0.500
14 Ir 0.000 0.500 0.750
15 Ir 0.500 0.000 0.250
16 Ir 0.500 0.500 0.000

***

Entry 3:
First-principles (PBE-GGA) data for Ba2YIr after structural relaxation, as listed in Alexandria via LeMat-Bulk.

The total moment comes out at 0.0000 μB per atom. The electronic total energy comes out at -4.48 eV per atom. The formation energy is 1.2 eV/f.u. For the distance to the lowest polymorph of the same formula, the calculation gives 550.5 meV/atom.

Cell: 4.573 4.573 11.516 Å, 90.00 90.00 90.00°
Fractional positions:
1 Ba 0.000 0.500 0.250
2 Ba 0.000 0.500 0.750
3 Ba 0.500 0.000 0.250
4 Ba 0.500 0.000 0.750
5 Y 0.000 0.000 0.000
6 Y 0.500 0.500 0.500
7 Ir 0.000 0.000 0.500
8 Ir 0.500 0.500 0.000

***

Entry 4:
First-principles (PBE-GGA) data for BaY3Ir after structural relaxation, as listed in Alexandria via LeMat-Bulk.

The total moment comes out at 0.0000 μB per atom. The electronic total energy comes out at -6.16 eV per atom. The formation energy is -0.6 eV/f.u. For the distance to the lowest polymorph of the same formula, the calculation gives 232.7 meV/atom.

Cell: 8.118 8.118 6.078 Å, 90.00 90.00 128.94°
Fractional positions:
1 Ba 0.085 0.915 0.750
2 Ba 0.915 0.085 0.250
3 Y 0.076 0.446 0.750
4 Y 0.446 0.076 0.250
5 Y 0.500 0.500 0.000
6 Y 0.500 0.500 0.500
7 Y 0.554 0.924 0.750
8 Y 0.924 0.554 0.250
9 Ir 0.326 0.674 0.250
10 Ir 0.674 0.326 0.750

***

Entry 5:
First-principles (PBE-GGA) data for BaYIr after structural relaxation, as listed in Alexandria via LeMat-Bulk.

The total moment comes out at 0.0000 μB per atom. The electronic total energy comes out at -6.04 eV per atom. The formation energy is -0.9 eV/f.u. For the distance to the lowest polymorph of the same formula, the calculation gives 0.1 meV/atom.

Cell: 3.602 3.602 14.363 Å, 90.00 90.00 90.00°
Fractional positions:
1 Ba 0.000 0.000 0.000
2 Ba 0.500 0.500 0.500
3 Y 0.000 0.000 0.246
4 Y 0.500 0.500 0.746
5 Ir 0.000 0.000 0.652
6 Ir 0.500 0.500 0.152

***

Entry 6:
First-principles (PBE-GGA) data for BaY3Ir after structural relaxation, as listed in Alexandria via LeMat-Bulk.

The total moment comes out at 0.0702 μB per atom. The electronic total energy comes out at -6.18 eV per atom. The formation energy is -0.7 eV/f.u. For the distance to the lowest polymorph of the same formula, the calculation gives 211.7 meV/atom.

Cell: 3.758 7.789 11.870 Å, 90.00 90.00 90.00°
Fractional positions:
1 Ba 0.000 0.000 0.000
2 Ba 0.000 0.500 0.500
3 Y 0.000 0.241 0.743
4 Y 0.000 0.259 0.243
5 Y 0.000 0.741 0.243
6 Y 0.000 0.759 0.743
7 Y 0.500 0.000 0.469
8 Y 0.500 0.500 0.969
9 Ir 0.500 0.000 0.234
10 Ir 0.500 0.500 0.734

***

Entry 7:
First-principles (PBE-GGA) data for BaY2Ir after structural relaxation, as listed in Alexandria via LeMat-Bulk.

The total moment comes out at 0.0000 μB per atom. The electronic total energy comes out at -5.71 eV per atom. The formation energy is 0.9 eV/f.u. For the distance to the lowest polymorph of the same formula, the calculation gives 598.1 meV/atom.

Cell: 5.088 5.088 4.168 Å, 90.00 90.00 90.00°
Fractional positions:
1 Ba 0.000 0.000 0.000
2 Y 0.000 0.500 0.500
3 Y 0.500 0.000 0.500
4 Ir 0.500 0.500 0.000

***

Entry 8:
First-principles (PBE-GGA) data for BaY2Ir after structural relaxation, as listed in Alexandria via LeMat-Bulk.

The total moment comes out at 0.0000 μB per atom. The electronic total energy comes out at -6.14 eV per atom. The formation energy is -0.9 eV/f.u. For the distance to the lowest polymorph of the same formula, the calculation gives 168.2 meV/atom.

Cell: 3.741 6.072 11.383 Å, 90.00 90.00 90.00°
Fractional positions:
1 Ba 0.000 0.000 0.000
2 Ba 0.500 0.500 0.500
3 Y 0.000 0.500 0.179
4 Y 0.000 0.500 0.821
5 Y 0.500 0.000 0.321
6 Y 0.500 0.000 0.679
7 Ir 0.000 0.000 0.500
8 Ir 0.500 0.500 0.000

***

Entry 9:
First-principles (PBE-GGA) data for BaY3Ir after structural relaxation, as listed in Alexandria via LeMat-Bulk.

The total moment comes out at 0.0000 μB per atom. The electronic total energy comes out at -6.33 eV per atom. The formation energy is -1.5 eV/f.u. For the distance to the lowest polymorph of the same formula, the calculation gives 58.5 meV/atom.

Cell: 11.999 11.999 5.513 Å, 103.26 103.26 26.99°
Fractional positions:
1 Ba 0.074 0.074 0.324
2 Ba 0.926 0.926 0.676
3 Y 0.198 0.198 0.948
4 Y 0.308 0.308 0.557
5 Y 0.440 0.440 0.190
6 Y 0.560 0.560 0.810
7 Y 0.692 0.692 0.443
8 Y 0.802 0.802 0.052
9 Ir 0.322 0.322 0.071
10 Ir 0.678 0.678 0.929

***

Entry 10:
First-principles (PBE-GGA) data for BaY3Ir after structural relaxation, as listed in Alexandria via LeMat-Bulk.

The total moment comes out at 0.0000 μB per atom. The electronic total energy comes out at -6.38 eV per atom. The formation energy is -1.7 eV/f.u. For the distance to the lowest polymorph of the same formula, the calculation gives 13.8 meV/atom.

Cell: 3.795 9.037 10.060 Å, 102.87 100.70 90.07°
Fractional positions:
1 Ba 0.008 0.210 0.026
2 Ba 0.992 0.790 0.974
3 Y 0.210 0.336 0.417
4 Y 0.325 0.021 0.652
5 Y 0.388 0.418 0.778
6 Y 0.612 0.582 0.222
7 Y 0.675 0.979 0.348
8 Y 0.790 0.664 0.583
9 Ir 0.204 0.761 0.407
10 Ir 0.796 0.239 0.593

***

Entry 11:
First-principles (PBE-GGA) data for BaY3Ir after structural relaxation, as listed in Alexandria via LeMat-Bulk.

The total moment comes out at 0.0000 μB per atom. The electronic total energy comes out at -6.29 eV per atom. The formation energy is -1.3 eV/f.u. For the distance to the lowest polymorph of the same formula, the calculation gives 100.9 meV/atom.

Cell: 10.072 10.072 6.262 Å, 96.80 96.80 86.71°
Fractional positions:
1 Ba 0.096 0.904 0.750
2 Ba 0.221 0.779 0.250
3 Ba 0.779 0.221 0.750
4 Ba 0.904 0.096 0.250
5 Y 0.011 0.428 0.228
6 Y 0.169 0.269 0.748
7 Y 0.269 0.169 0.248
8 Y 0.332 0.493 0.517
9 Y 0.428 0.011 0.728
10 Y 0.493 0.332 0.017
11 Y 0.507 0.668 0.983
12 Y 0.572 0.989 0.272
13 Y 0.668 0.507 0.483
14 Y 0.731 0.831 0.752
15 Y 0.831 0.731 0.252
16 Y 0.989 0.572 0.772
17 Ir 0.249 0.490 0.009
18 Ir 0.490 0.249 0.509
19 Ir 0.510 0.751 0.491
20 Ir 0.751 0.510 0.991

***

Entry 12:
First-principles (PBE-GGA) data for BaY3Ir after structural relaxation, as listed in Alexandria via LeMat-Bulk.

The total moment comes out at 0.0000 μB per atom. The electronic total energy comes out at -5.57 eV per atom. The formation energy is 2.3 eV/f.u. For the distance to the lowest polymorph of the same formula, the calculation gives 818.8 meV/atom.

Cell: 11.760 11.760 5.553 Å, 90.00 90.00 149.42°
Fractional positions:
1 Ba 0.218 0.782 0.750
2 Ba 0.782 0.218 0.250
3 Y 0.000 0.000 0.000
4 Y 0.000 0.000 0.500
5 Y 0.152 0.369 0.750
6 Y 0.369 0.152 0.250
7 Y 0.631 0.848 0.750
8 Y 0.848 0.631 0.250
9 Ir 0.491 0.509 0.750
10 Ir 0.509 0.491 0.250

***

What did the first record say?
First-principles (PBE-GGA) data for BaY3Ir after structural relaxation, as listed in Alexandria via LeMat-Bulk.

The total moment comes out at 0.0000 μB per atom. The electronic total energy comes out at -5.98 eV per atom. The formation energy is 0.3 eV/f.u. For the distance to the lowest polymorph of the same formula, the calculation gives 411.0 meV/atom.

Cell: 10.697 10.697 10.697 Å, 146.63 146.63 47.91°
Fractional positions:
1 Ba 0.202 0.202 0.000
2 Ba 0.798 0.798 0.000
3 Y 0.032 0.532 0.500
4 Y 0.130 0.378 0.752
5 Y 0.468 0.968 0.500
6 Y 0.622 0.374 0.752
7 Y 0.622 0.870 0.248
8 Y 0.626 0.378 0.248
9 Ir 0.500 0.500 0.000
10 Ir 0.750 0.250 0.500

***

Look up the total moment of the sixth one. 0.0702 μB per atom

***

What is the formula in the first record? BaY3Ir